# 1
ReSbH2Pb PBE relaxed; space-group type = P4/mmm; VASP energy = -23.1 eV per cell; total magnetization = 0.0000 μB/atom
1.0
-0.6311 2.6669 2.7530
-1.0905 -4.0382 3.6620
3.7564 -0.1243 0.9815
H Re Pb Sb
2 1 1 1
Cartesian
-0.3155 1.3334 1.3765
1.8782 -0.0622 0.4908
-0.5453 -2.0191 1.8310
1.0174 -0.7478 3.6982
0.0000 0.0000 0.0000



# 2
ReSnH2Pb PBE relaxed; space-group type = P4/mmm; VASP energy = -21.1 eV per cell; total magnetization = 0.6288 μB/atom
1.0
-1.3343 3.3786 -1.5455
-5.6392 -2.8362 -1.3315
-1.3768 1.0756 3.5400
Re H Pb Sn
1 2 1 1
Cartesian
-4.1751 0.8090 0.3315
-0.6884 0.5378 1.7700
-0.6672 1.6893 -0.7727
-2.8196 -1.4181 -0.6657
0.0000 0.0000 0.0000



# 3
VReHPb2 PBE relaxed; space-group type = P4/mmm; VASP energy = -26.7 eV per cell; total magnetization = 0.9331 μB/atom
1.0
5.4907 0.0000 0.0000
0.0000 3.2402 0.0000
0.0000 0.0000 5.4907
Pb Re H V
2 1 1 1
Cartesian
2.7454 0.0000 0.0000
0.0000 0.0000 2.7454
2.7454 1.6201 2.7454
0.0000 1.6201 0.0000
0.0000 0.0000 0.0000



# 4
HRh3Pb PBE relaxed; space-group type = Cm; VASP energy = -58.0 eV per cell; total magnetization = 0.0000 μB/atom
1.0
-1.0433 -2.6240 -4.0103
-4.2812 -1.3987 3.5993
-0.2952 4.8711 -3.1100
Rh H Pb
6 2 2
Cartesian
-4.7949 -1.5533 -2.1879
-4.9449 0.9210 -3.7674
-2.5929 -0.8162 -3.9760
-2.2462 1.7556 -2.6529
-4.4391 1.0036 -0.9510
-2.0995 -0.6612 -1.1101
-3.3336 1.8116 0.2081
-3.2713 0.2899 -2.1805
-4.3544 -1.4317 0.6098
-2.6833 1.6625 -5.4695



# 5
HRhPb PBE relaxed; space-group type = I4mm; VASP energy = -13.7 eV per cell; total magnetization = 0.0000 μB/atom
1.0
3.0464 0.0000 0.0000
0.0000 3.0464 0.0000
-1.5232 -1.5232 4.8025
Pb H Rh
1 1 1
Cartesian
0.0000 0.0000 0.1308
0.0000 0.0000 2.5060
1.5232 1.5232 2.1658



# 6
H3Rh2Pb PBE relaxed; space-group type = P-1; VASP energy = -56.9 eV per cell; total magnetization = 0.0000 μB/atom
1.0
-1.8220 -2.1549 1.7446
2.4556 -4.7443 -6.4054
3.3093 1.4897 5.2671
Pb H Rh
2 6 4
Cartesian
0.7507 -5.7551 -3.1352
3.1923 0.3456 3.7415
0.8392 -2.9904 0.3431
1.8062 -1.0176 0.6336
1.7392 -2.0408 2.4469
3.1038 -2.4191 0.2632
2.2038 -3.3687 -1.8406
2.1368 -4.3919 -0.0272
0.6983 -3.9949 -1.0306
3.6543 -3.6964 -0.7392
3.2446 -1.4146 1.6370
0.2887 -1.7132 1.3455



# 7
HRh3Pb PBE relaxed; space-group type = I-4m2; VASP energy = -50.4 eV per cell; total magnetization = 0.0000 μB/atom
1.0
-0.0506 -4.4977 0.8289
1.5245 0.7650 4.2438
-8.8647 -1.1466 5.8557
Rh H Pb
6 2 2
Cartesian
-5.1777 -3.2341 7.3723
-6.1284 -1.1361 6.0796
-0.8763 -2.4528 5.6863
-0.8505 -0.1608 5.2639
-5.3515 -0.7463 8.2422
-2.2131 -1.6452 3.5562
-6.1088 -3.6040 5.3087
-2.0696 -3.9068 3.9123
-3.3017 -1.1240 6.3180
0.0000 0.0000 0.0000



# 8
H2RhPb PBE relaxed; space-group type = R-3m; VASP energy = -17.5 eV per cell; total magnetization = 0.0000 μB/atom
1.0
3.2327 0.0000 0.0000
1.6163 2.7996 0.0000
1.6163 0.9332 5.3382
H Pb Rh
2 1 1
Cartesian
1.6163 0.9332 0.2450
4.8490 2.7996 5.0932
3.2327 1.8664 2.6691
0.0000 0.0000 0.0000



# 9
HRh3Pb PBE relaxed; space-group type = R-3m; VASP energy = -58.1 eV per cell; total magnetization = 0.0000 μB/atom
1.0
-3.2779 -3.3197 3.4335
4.1667 -4.0022 0.1087
5.3493 1.4423 1.6387
Rh H Pb
6 2 2
Cartesian
-0.3934 -2.4583 3.1594
3.4343 -2.8089 1.4536
1.7493 -4.5167 3.2155
1.2921 -0.7514 1.3976
6.0337 -2.1078 2.2503
2.3572 -1.7168 4.0016
1.3325 -2.8100 3.0696
1.7080 -2.4593 1.5493
3.9660 -0.0886 2.2709
4.4248 -3.7366 3.9805



# 10
HRh3Pb PBE relaxed; space-group type = Fd-3m; VASP energy = -115.7 eV per cell; total magnetization = 0.0000 μB/atom
1.0
-3.0694 -5.3741 4.2320
-6.8096 1.0007 2.9733
-5.8349 -3.9341 -2.5864
Rh Pb H
12 4 4
Cartesian
-10.8858 -3.3816 1.0932
-8.5196 -7.4147 1.8895
-5.6872 -1.6285 0.4485
-4.6713 -2.1576 2.9532
-9.1362 -4.2927 5.4069
-3.5437 -0.1834 1.3986
-6.5777 -4.0148 -0.7879
-2.1698 -2.5252 1.8610
-3.1857 -1.9962 -0.6438
-7.1943 -0.8928 2.7295
-4.8281 -4.9258 3.5258
-4.3132 -3.9704 0.9109
-9.8212 -5.1922 2.8869
-6.9037 -3.2251 4.1800
-8.2865 -2.5051 0.7708
-6.4164 -5.6925 1.4002
-5.3690 -0.5381 2.0640
-3.4989 -3.7255 2.6934
-1.9642 -1.0384 0.5774
-4.8817 -3.0055 -0.7158



# 11
H3RhPb PBE relaxed; space-group type = P2_1/m; VASP energy = -42.2 eV per cell; total magnetization = 0.0000 μB/atom
1.0
0.6371 2.1188 -4.5554
-2.1420 -4.1416 -2.2260
-4.3430 0.9450 2.4209
H Rh Pb
6 2 2
Cartesian
-0.7136 -0.2174 -4.2771
-2.4520 1.4865 -2.7852
-4.5132 0.5429 0.9717
-5.5873 -1.5341 -0.1446
-3.5198 -0.5781 -3.8949
-4.0506 -2.8398 -2.1833
-4.1066 0.9430 -3.1712
-5.0006 -3.0552 -0.8683
-2.9576 -0.7530 -1.1211
-1.8066 -2.3041 -5.3393



# 12
HRhPb PBE relaxed; space-group type = P-6m2; VASP energy = -14.2 eV per cell; total magnetization = 0.0000 μB/atom
1.0
3.2899 0.0000 0.0000
-1.6450 2.8491 0.0000
0.0000 0.0000 4.6079
Rh H Pb
1 1 1
Cartesian
1.6450 0.9497 2.3050
0.0000 1.8994 2.3023
0.0000 0.0000 0.0006



# 13
HRh3Pb PBE relaxed; space-group type = I-4m2; VASP energy = -55.8 eV per cell; total magnetization = 0.0000 μB/atom
1.0
5.2914 0.0000 0.0000
0.0000 5.2914 0.0000
2.6457 2.6457 5.2495
Rh Pb H
6 2 2
Cartesian
2.6457 3.9449 3.8035
2.6457 2.6457 1.3889
3.9923 5.2914 1.4460
5.2914 5.2914 3.8607
2.6457 6.6380 3.8035
1.2991 5.2914 1.4460
5.2914 2.6457 4.2720
5.2914 2.6457 0.9775
2.6457 5.2914 2.6248
0.0000 0.0000 0.0000



# 14
HRh3Pb PBE relaxed; space-group type = R3m; VASP energy = -25.8 eV per cell; total magnetization = 0.3310 μB/atom
1.0
-3.2580 -4.4381 0.7843
1.0986 -5.0826 -1.9716
1.3579 -4.3647 3.1673
Rh Pb H
3 1 1
Cartesian
-1.2023 -8.9431 2.6044
0.9451 -9.2607 1.2459
-1.3301 -9.2969 0.0713
-0.6635 -11.4953 1.6392
-0.0534 -0.9248 0.1319



# 15
H4RhPb PBE relaxed; space-group type = C2/c; VASP energy = -48.5 eV per cell; total magnetization = 0.0000 μB/atom
1.0
-5.0809 -1.6988 1.7463
1.2656 -4.4027 -2.7205
2.0746 0.9276 4.8189
Pb H Rh
2 8 2
Cartesian
-2.2517 -3.7441 1.3229
0.5111 -1.4298 2.5218
1.3323 -3.1410 1.0479
-3.0730 -2.0329 2.7968
-0.9245 -4.7507 -1.0276
-1.0619 -3.0269 3.2838
1.0874 -3.7703 -1.9366
-0.8161 -0.4232 4.8723
-2.8280 -1.4035 5.7813
-0.6788 -2.1469 0.5609
-2.5085 -5.4364 -1.0707
0.7679 0.2625 4.9155



# 16
H6Rh7Pb4 PBE relaxed; space-group type = Im-3m; VASP energy = -80.5 eV per cell; total magnetization = 0.0003 μB/atom
1.0
-4.8962 -1.4926 4.5188
2.3670 -5.7696 -2.7800
5.0977 3.2613 3.1617
Rh H Pb
7 6 4
Cartesian
-0.5315 -0.9312 4.2749
0.0000 0.0000 0.0000
1.9670 0.2573 3.9357
3.7827 -0.8120 2.1110
0.6016 -4.2582 0.9648
3.1001 -3.0697 0.6255
-1.2142 -3.1889 2.7895
2.4098 -5.3934 -1.1463
1.5878 -0.5335 0.0812
-1.9912 -5.7174 1.3689
5.8769 -1.9748 0.3005
0.1587 1.3925 6.0468
4.5597 1.7165 3.5316
2.5489 1.6306 1.5809
-2.4481 -0.7463 2.2594
1.1835 -2.8848 -1.3900
1.2843 -2.0004 2.4502



# 17
HRh4Pb3 PBE relaxed; space-group type = Imm2; VASP energy = -43.7 eV per cell; total magnetization = 0.0000 μB/atom
1.0
5.7653 -0.1274 0.2827
-2.9501 4.9550 -0.2827
-2.2689 -1.9116 4.9531
Pb H Rh
3 1 4
Cartesian
0.4303 2.9837 1.5503
3.3373 -1.9461 4.9975
0.6809 -0.3971 4.2488
-2.5550 1.4900 2.4167
-1.0034 0.5851 2.3087
1.8888 0.4989 1.7856
-3.0362 1.7706 4.1278
-2.4541 3.0654 1.5029



# 18
H4Rh4Pb3 PBE relaxed; space-group type = P-1; VASP energy = -53.4 eV per cell; total magnetization = 0.0000 μB/atom
1.0
-2.8308 -0.5150 -1.2711
0.5271 -4.4166 0.6233
-5.5902 -1.5903 9.3914
Pb Rh H
3 4 4
Cartesian
-2.2251 -4.4004 2.9412
-8.4208 -2.1053 8.1201
-5.6687 -2.1216 5.8026
-3.4565 -2.5371 1.0067
-4.4372 -3.9849 7.7370
-3.1824 -2.0618 4.1251
-4.7114 -4.4602 4.6187
-4.2510 -2.3850 2.7459
-3.6427 -4.1370 5.9978
-1.6960 -2.3533 0.9137
-6.1975 -4.1687 7.8295



# 19
HRh3Pb PBE relaxed; space-group type = C2/c; VASP energy = -115.0 eV per cell; total magnetization = 0.0010 μB/atom
1.0
12.7877 0.0000 -1.0610
5.5362 4.1390 -3.2110
-5.5362 4.1390 3.2110
Rh Pb H
12 4 4
Cartesian
10.6952 6.8835 -0.3740
10.7134 4.1563 -0.4123
8.4386 5.5346 -1.1155
9.8558 4.1216 -3.0929
2.9319 4.1563 2.0319
2.0925 1.3944 -0.6870
2.0743 4.1216 -0.6487
8.4863 2.7446 -1.2175
4.3490 2.7434 0.0545
4.3014 5.5334 0.1565
2.0448 6.8823 -0.5850
10.7429 1.3956 -0.4760
6.8226 3.4813 0.8098
12.3589 2.9276 -2.4012
0.4288 5.3504 1.3403
5.9650 4.7966 -1.8708
14.2730 5.4432 -2.9234
2.3429 2.8348 0.8182
10.4447 5.4432 -1.8791
-1.4853 2.8348 1.8624



# 20
HRh3Pb PBE relaxed; space-group type = C2/m; VASP energy = -58.0 eV per cell; total magnetization = 0.0000 μB/atom
1.0
5.7840 -0.0001 -0.0008
-2.8916 4.9701 0.0399
2.8927 -0.1019 4.7820
H Rh Pb
2 6 2
Cartesian
-0.5233 3.4939 0.1402
2.3694 1.8636 3.8536
0.9871 4.3200 0.7192
-2.0333 4.3201 0.7196
3.8794 1.0372 3.2737
5.2606 1.7361 0.9147
2.3694 3.6210 3.0782
6.6430 1.0372 3.2734
5.2614 3.6165 3.0531
2.3686 1.7407 0.9397